# 1
Below is a geometry-optimized Pr2Br3Cl3 structure, with properties calculated at the GGA-PBE level.

Summary:
**Energy above the lowest structure with this stoichiometry**: 0.0002 eV/atom
**SG**: Pm, No. 6

```
8
Lattice="7.6908 0.0000 0.0000 0.0000 4.3540 0.0000 -3.5843 0.0000 6.8625" Properties=species:S:1:pos:R:3 pbc="T T T"
Cl -0.7183 0.0000 2.7497
Cl 1.9706 2.1770 2.1287
Cl 2.1004 0.0000 4.6621
Pr 3.9313 0.0000 2.2850
Pr 0.1847 2.1770 4.4962
Br -1.0195 0.0000 6.3220
Br 5.2077 2.1770 0.5481
Br 4.7690 2.1770 4.2580
```

---

# 2
Below is a geometry-optimized LiCdTcOs structure, with properties calculated at the GGA-PBE level.

Summary:
**Energy above the lowest structure with this stoichiometry**: 0.0000 eV/atom
**SG**: F-43m, No. 216

```
4
Lattice="-2.3905 -3.5512 -0.9546 -3.4233 0.3277 -2.7221 0.2073 -1.7708 -4.0072" Properties=species:S:1:pos:R:3 pbc="T T T"
Tc -2.8033 -2.4971 -3.8420
Li -4.2049 -3.7457 -5.7630
Cd 0.0000 0.0000 0.0000
Os -1.4016 -1.2486 -1.9210
```

---

# 3
Below is a geometry-optimized NdH4Ir structure, with properties calculated at the GGA-PBE level.

Summary:
**SG**: C2/c, No. 15

```
12
Lattice="4.0048 -2.2536 0.0000 4.0048 2.2536 0.0000 -2.2195 0.0000 6.8990" Properties=species:S:1:pos:R:3 pbc="T T T"
H 5.4688 0.2880 2.7272
H 2.2228 0.9052 6.3277
H 0.3213 -0.2880 4.1717
H 3.3325 -0.9052 2.8782
H 2.4576 0.9052 4.0208
H 3.5673 -0.9052 0.5713
H 4.3590 -0.2880 6.1767
H 1.4310 0.2880 0.7222
Ir 2.0024 -1.1268 0.0000
Ir 0.8926 1.1268 3.4495
Nd 2.3402 -1.2990 5.1742
Nd 3.4499 1.2990 1.7247
```

---

# 4
Below is a geometry-optimized TbZnHg structure, with properties calculated at the GGA-PBE level.

Summary:
**SG**: F-43m, No. 216
**DFT formation energy**: -0.2446 eV per atom

```
3
Lattice="2.3938 -0.5812 3.9749 -2.2796 -0.7407 4.0154 0.1611 -4.2054 2.0388" Properties=species:S:1:pos:R:3 pbc="T T T"
Hg 0.0688 -1.3818 2.5073
Zn 0.0000 0.0000 0.0000
Tb 0.2065 -4.1455 7.5219
```

---

# 5
Below is a geometry-optimized ErHfTeC structure, with properties calculated at the GGA-PBE level.

Summary:
**Energy above the lowest structure with this stoichiometry**: 0.0000 eV/atom
**SG**: P6_3mc, No. 186

```
8
Lattice="3.6163 0.0000 0.0000 -1.8081 3.1318 0.0000 0.0000 0.0000 13.6534" Properties=species:S:1:pos:R:3 pbc="T T T"
C 0.0000 0.0000 6.9701
C 0.0000 0.0000 0.1434
Hf 0.0000 2.0879 1.2212
Hf 1.8081 1.0439 8.0479
Er 1.8081 1.0439 12.4054
Er 0.0000 2.0879 5.5787
Te 0.0000 2.0879 10.1233
Te 1.8081 1.0439 3.2967
```

---

# 6
Below is a geometry-optimized SrHfNO structure, with properties calculated at the GGA-PBE level.

Summary:
**Energy above the lowest structure with this stoichiometry**: 0.3951 eV/atom
**SG**: P4/nmm, No. 129

```
8
Lattice="4.2847 0.0000 0.0000 0.0000 4.2847 0.0000 0.0000 0.0000 9.3467" Properties=species:S:1:pos:R:3 pbc="T T T"
O 2.1423 2.1423 0.0000
O 0.0000 0.0000 0.0000
Hf 0.0000 0.0000 4.6734
Hf 2.1423 2.1423 4.6734
N 2.1423 0.0000 4.3606
N 0.0000 2.1423 4.9861
Sr 2.1423 0.0000 8.3507
Sr 0.0000 2.1423 0.9960
```

---

# 7
Below is a geometry-optimized MgUCo structure, with properties calculated at the GGA-PBE level.

Summary:
**SG**: F-43m, No. 216

```
3
Lattice="0.8357 -1.1096 4.3681 1.0451 3.2708 3.0365 -3.0046 1.1376 3.2694" Properties=species:S:1:pos:R:3 pbc="T T T"
Co -0.2809 0.8247 2.6685
U 0.0000 0.0000 0.0000
Mg -0.8428 2.4740 8.0055
```

---

# 8
Below is a geometry-optimized GdTh structure, with properties calculated at the GGA-PBE level.

Summary:
**Energy above the lowest structure with this stoichiometry**: 0.0000 eV/atom
**SG**: P-6m2, No. 187
**DFT formation energy**: 0.0556 eV per atom

```
2
Lattice="3.5571 0.0000 0.0000 -1.7786 3.0806 0.0000 0.0000 0.0000 5.9107" Properties=species:S:1:pos:R:3 pbc="T T T"
Gd 1.7786 1.0268 4.4331
Th 0.0000 2.0537 1.4777
```

---

# 9
Below is a geometry-optimized PrNd2Cd3Ga2Ag structure, with properties calculated at the GGA-PBE level.

Summary:
**SG**: Amm2, No. 38

```
9
Lattice="4.4472 0.0000 0.0000 0.0000 6.5571 3.7833 0.0000 -6.5571 3.7833" Properties=species:S:1:pos:R:3 pbc="T T T"
Nd 0.0000 -3.8249 5.3573
Nd 0.0000 3.8249 5.3573
Ga 2.2236 2.1944 3.7802
Ga 2.2236 -2.1944 3.7802
Pr 0.0000 0.0000 4.4151
Cd 2.2236 -4.9151 2.8400
Cd 2.2236 4.9151 2.8400
Cd 2.2236 0.0000 1.8880
Ag 0.0000 0.0000 0.0082
```

---

# 10
Below is a geometry-optimized Be2InW structure, with properties calculated at the GGA-PBE level.

Summary:
**SG**: F-43m, No. 216

```
4
Lattice="-2.5749 -2.8446 -2.0766 -2.9692 -2.2877 2.2325 -4.2470 0.8640 -0.5003" Properties=species:S:1:pos:R:3 pbc="T T T"
Be -7.3434 -3.2012 -0.2583
Be 0.0000 0.0000 0.0000
In -4.8956 -2.1341 -0.1722
W -2.4478 -1.0671 -0.0861
```

---

# 11
Below is a geometry-optimized LuTcOs structure, with properties calculated at the GGA-PBE level.

Summary:
**SG**: F-43m, No. 216
**DFT formation energy**: 0.3500 eV per atom

```
3
Lattice="0.0000 3.0884 3.0884 3.0884 0.0000 3.0884 3.0884 3.0884 0.0000" Properties=species:S:1:pos:R:3 pbc="T T T"
Os 4.6326 4.6326 4.6326
Tc 0.0000 0.0000 0.0000
Lu 1.5442 1.5442 1.5442
```

---

# 12
Below is a geometry-optimized UTaNi structure, with properties calculated at the GGA-PBE level.

Summary:
**Energy above the lowest structure with this stoichiometry**: 0.4984 eV/atom
**SG**: F-43m, No. 216
**DFT formation energy**: 1.0395 eV per atom

```
3
Lattice="1.4130 -1.4029 3.9044 -0.0267 2.7110 3.4437 -2.8541 -0.6331 3.2654" Properties=species:S:1:pos:R:3 pbc="T T T"
U 0.0000 0.0000 0.0000
Ni -0.3669 0.1687 2.6534
Ta -1.1008 0.5062 7.9601
```

---

# 13
Below is a geometry-optimized CdSiPO structure, with properties calculated at the GGA-PBE level.

Summary:
**Energy above the lowest structure with this stoichiometry**: 0.0000 eV/atom
**SG**: Pmc2_1, No. 26

```
8
Lattice="-1.9531 0.9222 -2.6949 -6.3331 -3.3365 3.4481 -1.1202 4.5877 2.3817" Properties=species:S:1:pos:R:3 pbc="T T T"
Si -5.4815 0.6994 1.9990
Si -3.3747 -0.7795 -0.0340
Cd -1.5119 1.7481 1.6939
Cd -6.4823 1.7185 5.2860
O -4.3683 0.0594 0.9732
O -5.0774 2.2747 2.2452
P -5.6115 -0.4161 3.9245
P -2.3808 3.8749 3.0514
```

---

# 14
Below is a geometry-optimized GdSnPb structure, with properties calculated at the GGA-PBE level.

Summary:
**Energy above the lowest structure with this stoichiometry**: 0.0154 eV/atom
**SG**: F-43m, No. 216

```
3
Lattice="-4.9897 -1.5342 0.3083 -2.2528 -0.6459 4.6748 -3.6713 3.3535 1.6190" Properties=species:S:1:pos:R:3 pbc="T T T"
Sn -2.7285 0.2933 1.6505
Pb -5.4569 0.5867 3.3011
Gd 0.0000 0.0000 0.0000
```

---

# 15
Below is a geometry-optimized LuCuSbIr structure, with properties calculated at the GGA-PBE level.

Summary:
**Energy above the lowest structure with this stoichiometry**: 0.0000 eV/atom
**SG**: F-43m, No. 216

```
4
Lattice="-3.6460 -1.4932 2.5157 -4.0994 -0.8267 -2.0889 -1.5333 -4.3894 -0.4843" Properties=species:S:1:pos:R:3 pbc="T T T"
Cu -6.9590 -5.0320 -0.0431
Lu -4.6394 -3.3546 -0.0287
Sb 0.0000 0.0000 0.0000
Ir -2.3197 -1.6773 -0.0144
```

---

# 16
Below is a geometry-optimized Si2HgB structure, with properties calculated at the GGA-PBE level.

Summary:
**SG**: F-43m, No. 216

```
4
Lattice="0.0000 3.1719 3.1719 3.1719 0.0000 3.1719 3.1719 3.1719 0.0000" Properties=species:S:1:pos:R:3 pbc="T T T"
Hg 1.5860 1.5860 1.5860
B 3.1719 3.1719 3.1719
Si 4.7579 4.7579 4.7579
Si 0.0000 0.0000 0.0000
```

---

# 17
Below is a geometry-optimized AlCu2Sb structure, with properties calculated at the GGA-PBE level.

Summary:
**SG**: Pm-3m, No. 221

```
16
Lattice="-2.8295 -5.7627 -0.1273 3.4819 -1.8218 5.0782 -4.5936 2.1687 3.9277" Properties=species:S:1:pos:R:3 pbc="T T T"
Cu 1.0767 -2.2127 4.7964
Cu -1.4906 -1.0007 6.9915
Cu -3.4365 0.0175 4.1534
Cu -0.8693 -1.1945 1.9583
Cu -3.0719 -4.2213 6.9203
Cu -0.5047 -5.4334 4.7252
Cu -5.0179 -3.2031 4.0822
Cu -2.4506 -4.4152 1.8871
Sb 0.3262 -3.7923 2.4755
Sb -1.9706 -2.7079 4.4393
Sb -3.7116 -1.7970 1.9002
Sb -0.5558 0.1734 4.5030
Al 0.0000 0.0000 0.0000
Al -1.4148 -2.8814 -0.0637
Al -2.2968 1.0844 1.9638
Al 1.7410 -0.9109 2.5391
```

---

# 18
Below is a geometry-optimized NaGdNO structure, with properties calculated at the GGA-PBE level.

Summary:
**Energy above the lowest structure with this stoichiometry**: 0.0950 eV/atom
**SG**: Pca2_1, No. 29

```
16
Lattice="-3.1415 1.8159 3.2444 0.3918 -5.7429 3.5938 6.2111 3.1012 4.2785" Properties=species:S:1:pos:R:3 pbc="T T T"
Gd 0.7576 0.1536 1.0121
Gd 3.9609 -1.7061 8.8062
Gd -0.6692 -1.0486 3.9548
Gd 5.3877 -0.5038 5.8635
O 3.9399 -0.3696 4.3996
O 0.7673 -1.1763 5.4304
O 2.2336 2.5251 4.7785
O 2.4736 -4.0710 5.0515
Na 1.0997 -2.9614 6.7472
Na 2.5489 -2.0863 4.0093
Na 3.6111 1.4134 3.0791
Na 2.1620 0.5383 5.8170
N 5.7220 -2.3299 7.2071
N 4.0323 0.3205 7.7389
N 0.6881 -1.8740 2.0776
N -1.0016 0.7763 2.6094
```

---

# 19
Below is a geometry-optimized CsSmTeO structure, with properties calculated at the GGA-PBE level.

Summary:
**Energy above the lowest structure with this stoichiometry**: 0.1575 eV/atom
**SG**: Pmc2_1, No. 26

```
8
Lattice="4.9780 0.0000 0.0000 0.0000 9.1110 0.0000 0.0000 0.0000 7.2780" Properties=species:S:1:pos:R:3 pbc="T T T"
Te 0.0000 6.4821 0.8372
Te 0.0000 2.6289 4.4762
Cs 0.0000 6.4491 4.4566
Cs 0.0000 2.6619 0.8176
O 2.4890 0.6231 1.6965
O 2.4890 8.4880 5.3355
Sm 2.4890 8.1536 0.2222
Sm 2.4890 0.9575 3.8612
```

---

# 20
Below is a geometry-optimized CuH12PdC4N8 structure, with properties calculated at the GGA-PBE level.

Summary:
**SG**: Pnma, No. 62

```
104
Lattice="14.2991 0.0000 0.0000 0.0000 6.9741 0.0000 0.0000 0.0000 10.1779" Properties=species:S:1:pos:R:3 pbc="T T T"
C 6.9518 1.7435 1.7787
C 0.3910 1.7435 7.2341
C 8.9340 5.2306 0.4484
C 14.1013 1.7435 3.3103
C 13.9081 5.2306 2.9438
C 7.3473 5.2306 8.3992
C 9.2965 1.7435 0.0222
C 5.0026 5.2306 10.1556
C 7.5405 1.7435 8.0327
C 0.1978 5.2306 6.8676
C 6.7586 5.2306 2.1451
C 5.3651 1.7435 9.7295
C 12.1522 5.2306 5.1112
C 1.7845 5.2306 4.6405
C 12.5146 1.7435 5.5373
C 2.1469 1.7435 5.0667
Cu 9.9640 1.7435 3.6682
Cu 2.8145 1.7435 1.4207
Cu 11.4846 5.2306 8.7571
Cu 4.3351 5.2306 6.5097
N 13.8144 5.2306 1.7731
N 12.6463 3.7979 9.5876
N 3.2829 6.6612 7.4837
N 5.4968 6.6633 5.6792
N 2.9540 5.2306 4.5138
N 8.8023 0.3108 4.4986
N 6.6648 5.2306 3.3158
N 1.6527 0.3108 0.5903
N 1.6527 3.1762 0.5903
N 7.6343 1.7435 6.8621
N 5.4968 3.7979 5.6792
N 3.8269 5.2306 10.1760
N 10.4722 1.7435 0.0019
N 11.3451 1.7435 5.6641
N 4.1956 1.7435 9.6027
N 11.0162 3.1741 2.6942
N 10.4325 3.8000 7.7831
N 3.3227 1.7435 5.0870
N 10.4325 6.6612 7.7831
N 10.1035 5.2306 0.5752
N 8.8023 3.1762 4.4986
N 0.5683 5.2306 7.9837
N 11.0162 0.3129 2.6942
N 3.8666 0.3129 2.3947
N 3.8666 3.1741 2.3947
N 10.9764 5.2306 5.0908
N 0.4847 1.7435 8.4047
N 7.7178 5.2306 7.2831
N 3.2829 3.8000 7.4837
N 6.5813 1.7435 2.8948
N 12.6463 6.6633 9.5876
N 13.7308 1.7435 2.1942
H 3.3930 3.5444 3.2277
H 12.0893 0.5118 9.8522
H 3.7566 0.0573 8.3166
H 3.7566 3.4298 8.3166
H 11.1824 3.9616 3.3285
H 9.5110 6.3094 7.4901
H 10.2662 0.4745 8.4174
H 6.2458 3.5035 6.3148
H 13.0877 4.1783 0.2600
H 1.2114 0.6912 9.9178
H 12.0893 2.9752 9.8522
H 8.3610 2.7958 5.3490
H 3.1167 0.4745 6.8494
H 1.2114 2.7958 9.9178
H 6.2458 6.9576 6.3148
H 11.9376 2.8223 2.4012
H 11.9376 0.6647 2.4012
H 4.7881 0.6647 2.6878
H 8.0533 0.0165 3.8631
H 4.7881 2.8223 2.6878
H 13.3953 6.9576 8.9520
H 2.2098 6.4623 0.3257
H 3.3930 6.9168 3.2277
H 4.0329 6.4996 1.7605
H 10.5425 3.5444 1.8613
H 2.3615 6.3094 7.7767
H 8.0533 3.4706 3.8631
H 10.9061 3.4298 6.9502
H 4.9398 0.5118 5.4146
H 4.9398 2.9752 5.4146
H 13.0877 6.2829 0.2600
H 5.9381 6.2829 4.8289
H 9.3593 3.9989 4.7633
H 8.3610 0.6912 5.3490
H 9.5110 4.1518 7.4901
H 3.1167 3.0125 6.8494
H 0.9038 3.4706 1.2259
H 2.3615 4.1518 7.7767
H 10.2662 3.0125 8.4174
H 10.9061 0.0573 6.9502
H 2.2098 3.9989 0.3257
H 10.5425 6.9168 1.8613
H 11.1824 6.4996 3.3285
H 5.9381 4.1783 4.8289
H 9.3593 6.4623 4.7633
H 4.0329 3.9616 1.7605
H 13.3953 3.5035 8.9520
H 0.9038 0.0165 1.2259
Pd 6.9789 5.2306 0.1746
Pd 7.3201 1.7435 10.0033
Pd 0.1706 1.7435 5.2635
Pd 14.1285 5.2306 4.9143
```

---

Number 1: DFT total energy -4.601 eV/atom. Number 2: DFT total energy -5.836 eV/atom. Number 3: DFT total energy -4.996 eV/atom. Number 4: DFT total energy -2.308 eV/atom. Number 5: DFT total energy -7.573 eV/atom. Number 6: DFT total energy -7.826 eV/atom. Number 7: DFT total energy -5.380 eV/atom. Number 8: DFT total energy -5.978 eV/atom. Number 9: DFT total energy -3.360 eV/atom. Number 10: DFT total energy -4.842 eV/atom. Number 11: DFT total energy -8.353 eV/atom. Number 12: DFT total energy -8.533 eV/atom. Number 13: DFT total energy -5.090 eV/atom. Number 14: DFT total energy -4.250 eV/atom. Number 15: DFT total energy -5.737 eV/atom. Number 16: DFT total energy -3.188 eV/atom. Number 17: DFT total energy -3.695 eV/atom. Number 18: DFT total energy -6.088 eV/atom. Number 19: DFT total energy -5.347 eV/atom. Number 20: DFT total energy -5.949 eV/atom.